Model one:
HoTaBe | PBE | optimized geometry

abc: 6.518 6.518 6.518
angles: 90.00 90.00 90.00
Fractional positions:
Ho 0.000 0.000 0.000
Ho 0.000 0.500 0.500
Ho 0.500 0.000 0.500
Ho 0.500 0.500 0.000
Ta 0.250 0.250 0.750
Ta 0.250 0.750 0.250
Ta 0.750 0.250 0.250
Ta 0.750 0.750 0.750
Be 0.250 0.250 0.250
Be 0.250 0.750 0.750
Be 0.750 0.250 0.750
Be 0.750 0.750 0.250

Calculated values
The space group is No. 216.

---

Model two:
HoTaBe | PBE | optimized geometry

abc: 6.184 6.184 6.184
angles: 90.00 90.00 90.00
Fractional positions:
Ho 0.000 0.000 0.000
Ho 0.000 0.500 0.500
Ho 0.500 0.000 0.500
Ho 0.500 0.500 0.000
Ta 0.000 0.000 0.500
Ta 0.000 0.500 0.000
Ta 0.500 0.000 0.000
Ta 0.500 0.500 0.500
Be 0.250 0.250 0.250
Be 0.250 0.750 0.750
Be 0.750 0.250 0.750
Be 0.750 0.750 0.250

Calculated values
The space group is No. 216.

---

It is model two that is the most stable of them.

---

Model one:
BeInSiIr | PBE | optimized geometry

abc: 6.223 6.223 6.223
angles: 90.00 90.00 90.00
Fractional positions:
Be 0.000 0.000 0.000
Be 0.000 0.500 0.500
Be 0.500 0.000 0.500
Be 0.500 0.500 0.000
In 0.250 0.250 0.750
In 0.250 0.750 0.250
In 0.750 0.250 0.250
In 0.750 0.750 0.750
Si 0.250 0.250 0.250
Si 0.250 0.750 0.750
Si 0.750 0.250 0.750
Si 0.750 0.750 0.250
Ir 0.000 0.000 0.500
Ir 0.000 0.500 0.000
Ir 0.500 0.000 0.000
Ir 0.500 0.500 0.500

Calculated values
The space group is No. 216.

---

Model two:
BeInSiIr | PBE | optimized geometry

abc: 6.165 6.165 6.165
angles: 90.00 90.00 90.00
Fractional positions:
Be 0.000 0.000 0.000
Be 0.000 0.500 0.500
Be 0.500 0.000 0.500
Be 0.500 0.500 0.000
In 0.250 0.250 0.250
In 0.250 0.750 0.750
In 0.750 0.250 0.750
In 0.750 0.750 0.250
Si 0.000 0.000 0.500
Si 0.000 0.500 0.000
Si 0.500 0.000 0.000
Si 0.500 0.500 0.500
Ir 0.250 0.250 0.750
Ir 0.250 0.750 0.250
Ir 0.750 0.250 0.250
Ir 0.750 0.750 0.750

Calculated values
The space group is No. 216.

---

It is model two that is the most stable of them.

---

Model one:
LaBeInPd | PBE | optimized geometry

abc: 6.979 6.979 6.979
angles: 90.00 90.00 90.00
Fractional positions:
La 0.000 0.000 0.000
La 0.000 0.500 0.500
La 0.500 0.000 0.500
La 0.500 0.500 0.000
Be 0.000 0.000 0.500
Be 0.000 0.500 0.000
Be 0.500 0.000 0.000
Be 0.500 0.500 0.500
In 0.250 0.250 0.750
In 0.250 0.750 0.250
In 0.750 0.250 0.250
In 0.750 0.750 0.750
Pd 0.250 0.250 0.250
Pd 0.250 0.750 0.750
Pd 0.750 0.250 0.750
Pd 0.750 0.750 0.250

Calculated values
The space group is No. 216.

---

Model two:
LaBeInPd | PBE | optimized geometry

abc: 6.889 6.889 6.889
angles: 90.00 90.00 90.00
Fractional positions:
La 0.000 0.000 0.000
La 0.000 0.500 0.500
La 0.500 0.000 0.500
La 0.500 0.500 0.000
Be 0.250 0.250 0.750
Be 0.250 0.750 0.250
Be 0.750 0.250 0.250
Be 0.750 0.750 0.750
In 0.000 0.000 0.500
In 0.000 0.500 0.000
In 0.500 0.000 0.000
In 0.500 0.500 0.500
Pd 0.250 0.250 0.250
Pd 0.250 0.750 0.750
Pd 0.750 0.250 0.750
Pd 0.750 0.750 0.250

Calculated values
The space group is No. 216.

---

It is model two that is the most stable of them.

---

Model one:
LiBeInNi | PBE | optimized geometry

abc: 5.972 5.972 5.972
angles: 90.00 90.00 90.00
Fractional positions:
Li 0.000 0.000 0.000
Li 0.000 0.500 0.500
Li 0.500 0.000 0.500
Li 0.500 0.500 0.000
Be 0.250 0.250 0.250
Be 0.250 0.750 0.750
Be 0.750 0.250 0.750
Be 0.750 0.750 0.250
In 0.000 0.000 0.500
In 0.000 0.500 0.000
In 0.500 0.000 0.000
In 0.500 0.500 0.500
Ni 0.250 0.250 0.750
Ni 0.250 0.750 0.250
Ni 0.750 0.250 0.250
Ni 0.750 0.750 0.750

Calculated values
The space group is No. 216.

---

Model two:
LiBeInNi | PBE | optimized geometry

abc: 5.927 5.927 5.927
angles: 90.00 90.00 90.00
Fractional positions:
Li 0.000 0.000 0.000
Li 0.000 0.500 0.500
Li 0.500 0.000 0.500
Li 0.500 0.500 0.000
Be 0.250 0.250 0.250
Be 0.250 0.750 0.750
Be 0.750 0.250 0.750
Be 0.750 0.750 0.250
In 0.250 0.250 0.750
In 0.250 0.750 0.250
In 0.750 0.250 0.250
In 0.750 0.750 0.750
Ni 0.000 0.000 0.500
Ni 0.000 0.500 0.000
Ni 0.500 0.000 0.000
Ni 0.500 0.500 0.500

Calculated values
The space group is No. 216.

---

It is model two that is the most stable of them.